Entry 1:
Entry from the Alexandria database: a geometry-optimized TlHO2 structure (PBE).

## Properties
Crystal system ... monoclinic
E ... -4.3572 eV/atom
V ... 62.9 Å³/f.u.

a = 6.6996 Å, b = 3.9603 Å, c = 10.8722 Å
α = 90.00°, β = 119.35°, γ = 90.00°
Space group P2_1/c (No. 14)
Asymmetric unit:
Tl (0.1937, 0.1781, 0.4330)
H (0.4066, 0.6649, 0.2509)
O (0.3382, 0.6542, 0.6202)
O (0.4505, 0.5395, 0.3480)


Entry 2:
Entry from the Alexandria database: a geometry-optimized TlHO2 structure (PBE).

## Properties
Crystal system ... monoclinic
E ... -4.5442 eV/atom
V ... 50.9 Å³/f.u.

a = 5.2075 Å, b = 11.2074 Å, c = 3.5556 Å
α = 90.00°, β = 101.13°, γ = 90.00°
Space group C2/c (No. 15)
Asymmetric unit:
Tl (0.0000, 0.1507, 0.2500)
H (0.0000, 0.3807, 0.2500)
O (0.2287, 0.3646, 0.2382)


Number 1: DOS(E_F) 0.0000 states/eV/atom. Number 2: DOS(E_F) 0.0000 states/eV/atom.